First-principles (PBE+U) data for crystalline Ba2GaNiF at its relaxed geometry, as listed in the Alexandria database.

Unit cell a=6.2455 b=4.3506 c=6.2455 alpha=90.00 beta=90.00 gamma=90.00
Positions (direct):
F1 0.0000 0.5000 0.0000
Ba1 0.0000 0.0000 0.5000
Ba2 0.5000 0.0000 0.0000
Ni1 0.5000 0.5000 0.5000
Ga1 0.0000 0.0000 0.0000

total DFT energy (no corrections)	-2.31	eV/atom
DOS(E_F)	2.3	states/eV/cell